[1]
## RbNaBe2F8 (GGA-PBE)

Data for crystalline RbNaBe2F8 at its relaxed geometry.

Calculated volume in Å³/f.u.: 205.8
Uncorrected formation energy in eV per atom: -2.5082

Lattice parameters (Å, degrees): 5.4073 5.4073 8.1272 90.00 90.00 120.00
Last column: magnetic moment on the atom in μB.
Fractional positions:
F 0.7852 0.1438 0.3092  0.23
F 0.3333 0.6667 0.9464  0.22
Be 0.6667 0.3333 0.2456  -0.01
F 0.6414 0.7852 0.6908  0.23
F 0.1438 0.3586 0.6908  0.23
F 0.6667 0.3333 0.0536  0.22
F 0.8562 0.6414 0.3092  0.23
Na 0.0000 0.0000 0.5000  0.00
F 0.2148 0.8562 0.6908  0.23
Rb 0.0000 0.0000 0.0000  0.00
Be 0.3333 0.6667 0.7544  -0.01
F 0.3586 0.2148 0.3092  0.23

=====

[2]
## RbNaBe2F6 (GGA-PBE)

Data for crystalline RbNaBe2F6 at its relaxed geometry.

Calculated volume in Å³/f.u.: 136.3
Uncorrected formation energy in eV per atom: -3.1133

Lattice parameters (Å, degrees): 7.2645 7.2645 5.2378 96.57 96.57 91.06
Fractional positions:
Rb 0.8100 0.1900 0.7500
F 0.3627 0.9411 0.7564
F 0.9411 0.3627 0.2564
Rb 0.1900 0.8100 0.2500
Be 0.6983 0.8595 0.2003
F 0.2968 0.4498 0.3477
F 0.1620 0.1761 0.5403
Na 0.3972 0.6028 0.7500
Be 0.8595 0.6983 0.7003
Be 0.3017 0.1405 0.7997
F 0.0589 0.6373 0.7436
F 0.5502 0.7032 0.1523
F 0.6373 0.0589 0.2436
F 0.8239 0.8380 0.9597
Be 0.1405 0.3017 0.2997
F 0.7032 0.5502 0.6523
F 0.1761 0.1620 0.0403
F 0.4498 0.2968 0.8477
F 0.8380 0.8239 0.4597
Na 0.6028 0.3972 0.2500

=====

> Which value of uncorrected formation energy does entry 2 give?

-3.1133 eV per atom

=====

> The highest calculated volume belongs to which entry?

RbNaBe2F8

=====

> calculated volume of number 1 (RbNaBe2F8)?

205.8 Å³/f.u.

=====

> uncorrected formation energy of number 2 (RbNaBe2F6)?

-3.1133 eV per atom